First-principles (meta-GGA SCAN) data for a crystal of CaIr2Pt relaxed with PBEsol, as listed in Alexandria.

```
CaIr2Pt
1.0
1.4122 0.8153 9.2744
-1.4122 0.8153 9.2744
0.0000 -1.6306 9.2744
Ca Ir Pt
1 2 1
direct
0.0000 0.0000 0.0000 Ca
0.2455 0.2455 0.2455 Ir
0.7545 0.7545 0.7545 Ir
0.5000 0.5000 0.5000 Pt
```

Properties
DOS at the Fermi energy, states/eV/atom: 1.029
ΔH_f (0 K), eV per atom: 0.299
E_tot, eV per atom: -55.214
Relative energy among the computed polymorphs, meV/atom: 468